# 1
# PBE AlFe2Au, relaxed
data_AlFe2Au
_chemical_formula_sum 'Al1 Fe2 Au1'
_cell_length_a 4.5790
_cell_length_b 4.5790
_cell_length_c 4.5790
_cell_angle_alpha 129.72
_cell_angle_beta 129.45
_cell_angle_gamma 74.07
_symmetry_space_group_name_H-M 'P 1'
_symmetry_Int_Tables_number 1
loop_
_symmetry_equiv_pos_as_xyz
'x,y,z'
loop_
_atom_site_label
_atom_site_fract_x
_atom_site_fract_y
_atom_site_fract_z
Al1 0.0000 0.0000 0.0000
Fe1 0.5006 0.5006 0.0000
Fe2 0.7501 0.2501 0.5000
Au1 0.2501 0.7501 0.5000
# Theoretical density (g/cm3): 10.0
# Energy of formation (eV per atom): -0.091

---

# 2
# PBE AlFe2Au, relaxed
data_AlFe2Au
_chemical_formula_sum 'Al1 Fe2 Au1'
_cell_length_a 4.7195
_cell_length_b 4.7195
_cell_length_c 2.7431
_cell_angle_alpha 90.00
_cell_angle_beta 90.00
_cell_angle_gamma 113.04
_symmetry_space_group_name_H-M 'P 1'
_symmetry_Int_Tables_number 1
loop_
_symmetry_equiv_pos_as_xyz
'x,y,z'
loop_
_atom_site_label
_atom_site_fract_x
_atom_site_fract_y
_atom_site_fract_z
Al1 0.0000 0.0000 0.0000
Fe1 0.0000 0.5000 0.5000
Fe2 0.5000 0.0000 0.5000
Au1 0.5000 0.5000 0.0000
# Theoretical density (g/cm3): 9.9
# Energy of formation (eV per atom): -0.040

---

# 3
# PBE AlFeAu2, relaxed
data_AlFeAu2
_chemical_formula_sum 'Al1 Fe1 Au2'
_cell_length_a 4.4827
_cell_length_b 4.4827
_cell_length_c 4.4827
_cell_angle_alpha 60.00
_cell_angle_beta 60.00
_cell_angle_gamma 60.00
_symmetry_space_group_name_H-M 'P 1'
_symmetry_Int_Tables_number 1
loop_
_symmetry_equiv_pos_as_xyz
'x,y,z'
loop_
_atom_site_label
_atom_site_fract_x
_atom_site_fract_y
_atom_site_fract_z
Al1 0.0000 0.0000 0.0000
Fe1 0.2500 0.2500 0.2500
Au1 0.5000 0.5000 0.5000
Au2 0.7500 0.7500 0.7500
# Theoretical density (g/cm3): 12.4
# Energy of formation (eV per atom): 0.003

---

# 4
# PBE AlFe2Au, relaxed
data_AlFe2Au
_chemical_formula_sum 'Al1 Fe2 Au1'
_cell_length_a 4.2941
_cell_length_b 4.2941
_cell_length_c 4.2941
_cell_angle_alpha 60.00
_cell_angle_beta 60.00
_cell_angle_gamma 60.00
_symmetry_space_group_name_H-M 'P 1'
_symmetry_Int_Tables_number 1
loop_
_symmetry_equiv_pos_as_xyz
'x,y,z'
loop_
_atom_site_label
_atom_site_fract_x
_atom_site_fract_y
_atom_site_fract_z
Al1 0.0000 0.0000 0.0000
Fe1 0.5000 0.5000 0.5000
Fe2 0.7500 0.7500 0.7500
Au1 0.2500 0.2500 0.2500
# Theoretical density (g/cm3): 10.0
# Energy of formation (eV per atom): -0.081

---

# 5
# PBE Al2Fe2Au, relaxed
data_Al2Fe2Au
_chemical_formula_sum 'Al4 Fe4 Au2'
_cell_length_a 6.8601
_cell_length_b 6.8601
_cell_length_c 2.9859
_cell_angle_alpha 90.00
_cell_angle_beta 90.00
_cell_angle_gamma 90.00
_symmetry_space_group_name_H-M 'P 1'
_symmetry_Int_Tables_number 1
loop_
_symmetry_equiv_pos_as_xyz
'x,y,z'
loop_
_atom_site_label
_atom_site_fract_x
_atom_site_fract_y
_atom_site_fract_z
Al1 0.1347 0.3653 0.0000
Al2 0.3653 0.8653 0.0000
Al3 0.6347 0.1347 0.0000
Al4 0.8653 0.6347 0.0000
Fe1 0.1607 0.6607 0.5000
Fe2 0.3393 0.1607 0.5000
Fe3 0.6607 0.8393 0.5000
Fe4 0.8393 0.3393 0.5000
Au1 0.0000 0.0000 0.0000
Au2 0.5000 0.5000 0.0000
# Theoretical density (g/cm3): 8.6
# Polymorph energy (0 for the lowest one) (meV per atom): 63
# Energy of formation (eV per atom): -0.083

---

# 6
# PBE AlFe2Au, relaxed
data_AlFe2Au
_chemical_formula_sum 'Al1 Fe2 Au1'
_cell_length_a 2.7235
_cell_length_b 3.9109
_cell_length_c 5.2736
_cell_angle_alpha 90.00
_cell_angle_beta 90.83
_cell_angle_gamma 90.00
_symmetry_space_group_name_H-M 'P 1'
_symmetry_Int_Tables_number 1
loop_
_symmetry_equiv_pos_as_xyz
'x,y,z'
loop_
_atom_site_label
_atom_site_fract_x
_atom_site_fract_y
_atom_site_fract_z
Al1 0.0000 0.0000 0.0000
Fe1 0.4966 0.5000 0.2300
Fe2 0.5034 0.5000 0.7700
Au1 0.0000 0.0000 0.5000
# Theoretical density (g/cm3): 9.9
# Energy of formation (eV per atom): -0.074

---

# 7
# PBE Al2FeAu2, relaxed
data_Al2FeAu2
_chemical_formula_sum 'Al4 Fe2 Au4'
_cell_length_a 6.7207
_cell_length_b 6.7207
_cell_length_c 3.4882
_cell_angle_alpha 90.00
_cell_angle_beta 90.00
_cell_angle_gamma 90.00
_symmetry_space_group_name_H-M 'P 1'
_symmetry_Int_Tables_number 1
loop_
_symmetry_equiv_pos_as_xyz
'x,y,z'
loop_
_atom_site_label
_atom_site_fract_x
_atom_site_fract_y
_atom_site_fract_z
Al1 0.1482 0.3518 0.0000
Al2 0.3518 0.8518 0.0000
Al3 0.6482 0.1482 0.0000
Al4 0.8518 0.6482 0.0000
Fe1 0.0000 0.0000 0.0000
Fe2 0.5000 0.5000 0.0000
Au1 0.1567 0.6567 0.5000
Au2 0.3433 0.1567 0.5000
Au3 0.6567 0.8433 0.5000
Au4 0.8433 0.3433 0.5000
# Theoretical density (g/cm3): 10.6
# Polymorph energy (0 for the lowest one) (meV per atom): 107
# Energy of formation (eV per atom): 0.056

---

# 8
# PBE Al2Fe2Au, relaxed
data_Al2Fe2Au
_chemical_formula_sum 'Al4 Fe4 Au2'
_cell_length_a 7.1621
_cell_length_b 7.1621
_cell_length_c 2.7366
_cell_angle_alpha 90.00
_cell_angle_beta 90.00
_cell_angle_gamma 90.00
_symmetry_space_group_name_H-M 'P 1'
_symmetry_Int_Tables_number 1
loop_
_symmetry_equiv_pos_as_xyz
'x,y,z'
loop_
_atom_site_label
_atom_site_fract_x
_atom_site_fract_y
_atom_site_fract_z
Al1 0.1798 0.3202 0.0000
Al2 0.3202 0.8202 0.0000
Al3 0.6798 0.1798 0.0000
Al4 0.8202 0.6798 0.0000
Fe1 0.1151 0.6151 0.5000
Fe2 0.3849 0.1151 0.5000
Fe3 0.6151 0.8849 0.5000
Fe4 0.8849 0.3849 0.5000
Au1 0.0000 0.0000 0.5000
Au2 0.5000 0.5000 0.5000
# Theoretical density (g/cm3): 8.6
# Polymorph energy (0 for the lowest one) (meV per atom): 0
# Energy of formation (eV per atom): -0.146